# 1
A geometry-optimized Th2Si4Ni3Os structure, computed with PBE.

Computed properties:
Formation energy from raw total energies   -0.8356 eV per atom
Theoretical density   9.67 g/cm³

abc: 4.0769 4.0769 9.7375
angles: 90.00 90.00 90.00
Atoms (fractional coordinates):
Th  0.0000  0.5000  0.2454
Th  0.5000  0.0000  0.7546
Si  0.0000  0.0000  0.0000
Si  0.0000  0.5000  0.6341
Si  0.5000  0.0000  0.3659
Si  0.5000  0.5000  0.0000
Ni  0.0000  0.5000  0.8810
Ni  0.5000  0.0000  0.1190
Ni  0.5000  0.5000  0.5000
Os  0.0000  0.0000  0.5000

# 2
A geometry-optimized InSiHg2 structure, computed with PBE.

Computed properties:
Formation energy from raw total energies   0.3553 eV per atom
Theoretical density   9.83 g/cm³

abc: 5.5574 5.5574 3.1507
angles: 90.00 90.00 109.10
Atoms (fractional coordinates):
In  0.0000  0.0000  0.0000
Si  0.5000  0.5000  0.0000
Hg  0.0000  0.5000  0.5000
Hg  0.5000  0.0000  0.5000